DFT (GGA-PBE) results for crystalline SmTaCd2O6 at its relaxed geometry.

DFT total energy = -71.036 eV per formula unit
Raw formation energy = -2.288 eV per atom
Calculated volume = 14.1 Å³ per atom
Total magnetic moment = 0.00 μB/f.u.

Cell: 5.7032 5.7032 14.9743 Å, 90.00 90.00 120.00°
Space group R3 (No. 146, hexagonal axes)
One atom of each set of equivalent atoms:
Sm 0.0000 0.0000 0.0000 x3
Ta 0.0000 0.0000 0.5039 x3
Cd 0.0000 0.0000 0.2274 x3
Cd 0.0000 0.0000 0.7226 x3
O 0.0199 0.7339 0.5947 x9
O 0.0561 0.3492 0.1049 x9

---

DFT (GGA-PBE) results for crystalline MnFeOs3 at its relaxed geometry.

DFT total energy = -50.789 eV per formula unit
Energy of formation = 0.11 eV/atom
Energy above the most stable polymorph in this dataset = 0.0 meV/atom
Calculated volume = 13.2 Å³ per atom
Total magnetic moment = 0.00 μB/f.u.

Cell: 12.299 4.154 5.287 Å, 90.00 102.30 90.00°
Space group C2/m (No. 12)
One atom of each set of equivalent atoms:
Mn 0.096 0.000 0.042 x4
Fe 0.217 0.500 0.605 x4
Os 0.006 0.500 0.254 x4
Os 0.104 0.000 0.551 x4
Os 0.209 0.500 0.108 x4

---

DFT (GGA-PBE) results for crystalline Ba2Bi4Pd3Au at its relaxed geometry.

DFT total energy = -44.297 eV per formula unit
Energy of formation = -0.61 eV/atom
Calculated volume = 27.8 Å³ per atom
Total magnetic moment = 0.00 μB/f.u.

Cell: 5.003 5.003 11.111 Å, 90.00 90.00 90.00°
Space group P-4m2 (No. 115)
One atom of each set of equivalent atoms:
Ba 0.000 0.500 0.240 x2
Bi 0.000 0.000 0.500 x1
Bi 0.000 0.500 0.870 x2
Bi 0.500 0.500 0.500 x1
Pd 0.000 0.000 0.000 x1
Pd 0.000 0.500 0.621 x2
Au 0.500 0.500 0.000 x1

---

DFT (GGA-PBE) results for crystalline LiU2Se4S at its relaxed geometry.

DFT total energy = -51.847 eV per formula unit
Raw formation energy = -1.161 eV per atom
Calculated volume = 21.9 Å³ per atom
Total magnetic moment = 3.03 μB/f.u.

Cell: 12.176 3.837 8.048 Å, 90.00 111.25 90.00°
Space group C2/m (No. 12)
One atom of each set of equivalent atoms:
Li 0.000 0.000 0.000 x2
U 0.165 0.000 0.690 x4
Se 0.131 0.500 0.932 x4
Se 0.167 0.000 0.319 x4
S 0.000 0.500 0.500 x2

---

DFT (GGA-PBE) results for crystalline Pr2TmNi at its relaxed geometry.

DFT total energy = -19.955 eV per formula unit
Energy of formation = -0.04 eV/atom
Energy above the most stable polymorph in this dataset = 0.0 meV/atom
Calculated volume = 27.8 Å³ per atom
Total magnetic moment = 0.00 μB/f.u.

Cell: 3.603 3.603 8.581 Å, 90.00 90.00 90.00°
Space group P4/mmm (No. 123)
One atom of each set of equivalent atoms:
Pr 0.000 0.000 0.196 x2
Tm 0.500 0.500 0.500 x1
Ni 0.500 0.500 0.000 x1

---

DFT (GGA-PBE) results for crystalline PrSb4Pd6 at its relaxed geometry.

DFT total energy = -58.266 eV per formula unit
Raw formation energy = -0.531 eV per atom
Calculated volume = 21.6 Å³ per atom
Total magnetic moment = 0.00 μB/f.u.

Cell: 6.971 6.971 9.775 Å, 90.00 90.00 90.00°
Space group I-42m (No. 121)
One atom of each set of equivalent atoms:
Pr 0.000 0.000 0.000 x2
Sb 0.217 0.217 0.657 x8
Pd 0.000 0.500 0.000 x4
Pd 0.154 0.154 0.388 x8

---

DFT (GGA-PBE) results for crystalline BaTcCl2 at its relaxed geometry.

DFT total energy = -16.513 eV per formula unit
Raw formation energy = -0.133 eV per atom
Energy above the most stable polymorph in this dataset = 453.4 meV/atom
Calculated volume = 27.3 Å³ per atom
Total magnetic moment = 0.00 μB/f.u.

Cell: 3.9730 3.9730 23.9526 Å, 90.00 90.00 120.00°
Space group R-3m (No. 166, hexagonal axes)
One atom of each set of equivalent atoms:
Ba 0.0000 0.0000 0.0000 x3
Tc 0.0000 0.0000 0.5000 x3
Cl 0.0000 0.0000 0.1250 x6

---

DFT (GGA-PBE) results for crystalline Tm2LuIn at its relaxed geometry.

DFT total energy = -17.116 eV per formula unit
Energy of formation = -0.23 eV/atom
Energy above the most stable polymorph in this dataset = 26.2 meV/atom
Calculated volume = 28.0 Å³ per atom
Total magnetic moment = 0.00 μB/f.u.

Cell: 3.515 3.515 9.079 Å, 90.00 90.00 90.00°
Space group P4/mmm (No. 123)
One atom of each set of equivalent atoms:
Tm 0.000 0.000 0.232 x2
Lu 0.500 0.500 0.500 x1
In 0.500 0.500 0.000 x1

---

DFT (GGA-PBE) results for crystalline Ac2As4PtRh3 at its relaxed geometry.

DFT total energy = -64.147 eV per formula unit
Energy of formation = -0.92 eV/atom
Calculated volume = 20.0 Å³ per atom
Total magnetic moment = 0.00 μB/f.u.

Cell: 4.471 4.471 9.997 Å, 90.00 90.00 90.00°
Space group P-4m2 (No. 115)
One atom of each set of equivalent atoms:
Ac 0.000 0.500 0.248 x2
As 0.000 0.000 0.000 x1
As 0.000 0.500 0.635 x2
As 0.500 0.500 0.000 x1
Pt 0.000 0.000 0.500 x1
Rh 0.000 0.500 0.885 x2
Rh 0.500 0.500 0.500 x1

---

DFT (GGA-PBE) results for crystalline LaZnFe3 at its relaxed geometry.

DFT total energy = -28.111 eV per formula unit
Energy of formation = 0.70 eV/atom
Calculated volume = 19.5 Å³ per atom
Total magnetic moment = 7.25 μB/f.u.

Cell: 4.604 4.604 4.604 Å, 90.00 90.00 90.00°
Space group Pm-3m (No. 221)
One atom of each set of equivalent atoms:
La 0.000 0.000 0.000 x1
Zn 0.500 0.500 0.500 x1
Fe 0.000 0.500 0.500 x3

---

DFT (GGA-PBE) results for crystalline SiP2PtCl at its relaxed geometry.

DFT total energy = -20.172 eV per formula unit
Raw formation energy = 0.792 eV per atom
Energy above the most stable polymorph in this dataset = 31.6 meV/atom
Calculated volume = 21.5 Å³ per atom
Total magnetic moment = 0.00 μB/f.u.

Cell: 4.662 4.662 4.956 Å, 90.00 90.00 90.00°
Space group P4/mmm (No. 123)
One atom of each set of equivalent atoms:
Si 0.000 0.000 0.000 x1
P 0.000 0.500 0.500 x2
Pt 0.500 0.500 0.500 x1
Cl 0.500 0.500 0.000 x1

---

DFT (GGA-PBE) results for crystalline Y6Tm12Cd at its relaxed geometry.

DFT total energy = -90.980 eV per formula unit
Energy of formation = 0.13 eV/atom
Calculated volume = 31.2 Å³ per atom
Total magnetic moment = 0.00 μB/f.u.

Cell: 12.1887 12.1887 13.8074 Å, 90.00 90.00 120.00°
Space group R-3 (No. 148, hexagonal axes)
One atom of each set of equivalent atoms:
Y 0.0248 0.4314 0.2104 x18
Tm 0.0454 0.1812 0.3153 x18
Tm 0.0626 0.8685 0.9049 x18
Cd 0.0000 0.0000 0.5000 x3

---

Copy entry 8 word for word.
DFT (GGA-PBE) results for crystalline Tm2LuIn at its relaxed geometry.

DFT total energy = -17.116 eV per formula unit
Energy of formation = -0.23 eV/atom
Energy above the most stable polymorph in this dataset = 26.2 meV/atom
Calculated volume = 28.0 Å³ per atom
Total magnetic moment = 0.00 μB/f.u.

Cell: 3.515 3.515 9.079 Å, 90.00 90.00 90.00°
Space group P4/mmm (No. 123)
One atom of each set of equivalent atoms:
Tm 0.000 0.000 0.232 x2
Lu 0.500 0.500 0.500 x1
In 0.500 0.500 0.000 x1